# 1
Below is a relaxed structure of Be2WAu, with properties calculated at the PBE-GGA level.

Lattice parameters (Å, degrees): 4.9504 4.9504 4.9504 147.44 121.82 68.28
With the nearest neighbours (Å) after each atom.
Fractional positions:
Be 0.2416 0.2416 0.0000  2 Au 2.42, 2 W 2.53
Be 0.7584 0.7584 0.0000  2 Au 2.42, 2 W 2.53
W 0.5000 0.0000 0.5000  4 Be 2.53, 2 W 2.78, 4 Au 2.78
Au 0.0000 0.5000 0.5000  4 Be 2.42

Summary:
The formation energy is 0.4430 eV per atom. Its space group is No. 71. The offset from the most stable computed form is 338.4 meV per atom. The total energy is -5.4777 eV per atom.

# 2
Below is a relaxed structure of Ti2Nb2Co, with properties calculated at the PBE-GGA level.

Lattice parameters (Å, degrees): 8.3211 8.3211 8.3211 158.15 158.15 31.09
With the nearest neighbours (Å) after each atom.
Fractional positions:
Ti 0.0904 0.0904 0.0000  4 Co 2.66, 4 Nb 2.81, 1 Ti 2.90
Ti 0.9096 0.9096 0.0000  4 Co 2.66, 4 Nb 2.81, 1 Ti 2.90
Nb 0.3028 0.3028 0.0000  4 Nb 2.80, 4 Ti 2.81
Nb 0.6972 0.6972 0.0000  4 Nb 2.80, 4 Ti 2.81
Co 0.5000 0.5000 0.0000  8 Ti 2.66

Summary:
The formation energy is -0.1285 eV per atom. Its space group is No. 139. The offset from the most stable computed form is 0.0 meV per atom. The total energy is -8.7356 eV per atom.